1.
# TlSiO3 PBE-GGA optimized geometry
# formation energy from raw total energies: -1437 meV per atom
data_TlSiO3
_chemical_formula_sum 'Tl1 Si1 O3'
_cell_length_a 3.671
_cell_length_b 3.671
_cell_length_c 3.671
_cell_angle_alpha 90.00
_cell_angle_beta 90.00
_cell_angle_gamma 90.00
_space_group_name_H-M_alt 'P 1'
_space_group_IT_number 1
_space_group_name_Hall 'P 1'
loop_
_atom_site_label
_atom_site_type_symbol
_atom_site_fract_x
_atom_site_fract_y
_atom_site_fract_z
Tl1 Tl 0.000 0.000 0.000
Si1 Si 0.500 0.500 0.500
O1 O 0.000 0.500 0.500
O2 O 0.500 0.000 0.500
O3 O 0.500 0.500 0.000



2.
# RbPd PBE-GGA optimized geometry
# energy of formation: 113 meV/atom
data_RbPd
_chemical_formula_sum 'Rb2 Pd2'
_cell_length_a 6.182
_cell_length_b 6.182
_cell_length_c 4.803
_cell_angle_alpha 90.00
_cell_angle_beta 90.00
_cell_angle_gamma 129.45
_space_group_name_H-M_alt 'P 1'
_space_group_IT_number 1
_space_group_name_Hall 'P 1'
loop_
_atom_site_label
_atom_site_type_symbol
_atom_site_fract_x
_atom_site_fract_y
_atom_site_fract_z
Rb1 Rb 0.146 0.854 0.750
Rb2 Rb 0.854 0.146 0.250
Pd1 Pd 0.458 0.542 0.750
Pd2 Pd 0.542 0.458 0.250



3.
# CoTe2RuI PBE-GGA optimized geometry
# formation energy from raw total energies: 1045 meV per atom
data_CoTe2RuI
_chemical_formula_sum 'Co1 Te2 Ru1 I1'
_cell_length_a 4.931
_cell_length_b 4.931
_cell_length_c 5.262
_cell_angle_alpha 90.00
_cell_angle_beta 90.00
_cell_angle_gamma 90.00
_space_group_name_H-M_alt 'P 1'
_space_group_IT_number 1
_space_group_name_Hall 'P 1'
loop_
_atom_site_label
_atom_site_type_symbol
_atom_site_fract_x
_atom_site_fract_y
_atom_site_fract_z
Co1 Co 0.000 0.000 0.000
Te1 Te 0.000 0.500 0.000
Te2 Te 0.500 0.000 0.000
Ru1 Ru 0.500 0.500 0.500
I1 I 0.000 0.000 0.500



4.
An optimized crystal structure of LiBP2H. Source: Alexandria, functional PBE-GGA.

CIF file:
```
data_LiBP2H
_chemical_formula_sum 'Li1 B1 P2 H1'
_cell_length_a 4.217
_cell_length_b 4.217
_cell_length_c 3.721
_cell_angle_alpha 90.00
_cell_angle_beta 90.00
_cell_angle_gamma 90.00
_space_group_name_H-M_alt 'P 1'
_space_group_IT_number 1
_space_group_name_Hall 'P 1'
loop_
_atom_site_label
_atom_site_type_symbol
_atom_site_fract_x
_atom_site_fract_y
_atom_site_fract_z
Li1 Li 0.000 0.000 0.000
B1 B 0.000 0.000 0.500
P1 P 0.000 0.500 0.000
P2 P 0.500 0.000 0.000
H1 H 0.500 0.500 0.500
```



5.
# CeHo2Al PBE-GGA optimized geometry
# energy of formation: -146 meV/atom
data_CeHo2Al
_chemical_formula_sum 'Ce1 Ho2 Al1'
_cell_length_a 4.777
_cell_length_b 4.777
_cell_length_c 4.598
_cell_angle_alpha 90.00
_cell_angle_beta 90.00
_cell_angle_gamma 90.00
_space_group_name_H-M_alt 'P 1'
_space_group_IT_number 1
_space_group_name_Hall 'P 1'
loop_
_atom_site_label
_atom_site_type_symbol
_atom_site_fract_x
_atom_site_fract_y
_atom_site_fract_z
Ce1 Ce 0.000 0.000 0.000
Ho1 Ho 0.000 0.500 0.500
Ho2 Ho 0.500 0.000 0.500
Al1 Al 0.500 0.500 0.000



6.
# Mn3As PBE-GGA optimized geometry
# energy of formation: -7 meV/atom
data_Mn3As
_chemical_formula_sum 'Mn3 As1'
_cell_length_a 4.422
_cell_length_b 4.422
_cell_length_c 4.422
_cell_angle_alpha 131.48
_cell_angle_beta 131.48
_cell_angle_gamma 71.05
_space_group_name_H-M_alt 'P 1'
_space_group_IT_number 1
_space_group_name_Hall 'P 1'
loop_
_atom_site_label
_atom_site_type_symbol
_atom_site_fract_x
_atom_site_fract_y
_atom_site_fract_z
Mn1 Mn 0.000 0.000 0.000
Mn2 Mn 0.250 0.750 0.500
Mn3 Mn 0.750 0.250 0.500
As1 As 0.500 0.500 0.000



| no. | E (eV for the cell shown) |
| --- | --- |
| 1 | -29.85 |
| 2 | -11.87 |
| 3 | -18.99 |
| 4 | -14.52 |
| 5 | -19.42 |
| 6 | -32.18 |